No. 1
Ce4NdSb4 | GGA-PBE | relaxed

For the raw formation energy, the calculation gives -0.8148 eV per atom. The theoretical density is 6.332 g cm⁻³.

The space group is I4/m (No. 87) and the conventional cell measures 9.944, 9.944 and 6.321 Å, with angles of 90.00, 90.00 and 90.00 degrees. Symmetry generates all atoms from Ce at (0.101, 0.296, 0.000), Nd at (0.000, 0.000, 0.500) and Sb at (0.097, 0.302, 0.500).

No. 2
RbNiH2 | GGA-PBE | relaxed

The theoretical density is 3.799 g cm⁻³. The value obtained for the uncorrected energy is -2.29 eV/atom.

The space group is Fm-3m (No. 225) and the conventional cell measures 6.346, 6.346 and 6.346 Å, with angles of 90.00, 90.00 and 90.00 degrees. Symmetry generates all atoms from Rb at (0.000, 0.000, 0.000), Ni at (0.000, 0.000, 0.500) and H at (0.250, 0.250, 0.250).

No. 3
Ba2CaHg | GGA-PBE | relaxed

For the formation energy, the calculation gives -0.0793 eV per atom. The theoretical density is 5.007 g cm⁻³.

The space group is I-4m2 (No. 119) and the conventional cell measures 5.318, 5.318 and 12.086 Å, with angles of 90.00, 90.00 and 90.00 degrees. Symmetry generates all atoms from Ba at (0.000, 0.000, 0.000), Ba at (0.000, 0.500, 0.250), Ca at (0.000, 0.500, 0.750) and Hg at (0.000, 0.000, 0.500).

No. 4
Ca2MgInRh | GGA-PBE | relaxed

For the formation energy, the calculation gives -0.2136 eV per atom. The theoretical density is 3.512 g cm⁻³.

The space group is P4/mmm (No. 123) and the conventional cell measures 5.402, 5.402 and 5.220 Å, with angles of 90.00, 90.00 and 90.00 degrees. Symmetry generates all atoms from Ca at (0.000, 0.500, 0.000), Mg at (0.000, 0.000, 0.500), In at (0.500, 0.500, 0.500) and Rh at (0.500, 0.500, 0.000).